CuH2I2 PBE optimized geometry; ρ = 4.7 g cm⁻³; excess energy over the best structure of this formula in the dataset = 0.0 meV/atom; size of the total moment = 0.00 Bohr magnetons per cell
1.0
2.0598 -3.5930 0.0000
2.0598 3.5930 0.0000
-1.7550 0.0000 15.2818
Cu H I
2 4 4
Direct
0.1313 0.8687 0.7500
0.8687 0.1313 0.2500
0.1799 0.4143 0.8591
0.4143 0.1799 0.3591
0.5857 0.8201 0.6409
0.8201 0.5857 0.1409
0.0849 0.3207 0.6383
0.3207 0.0849 0.1383
0.6793 0.9151 0.8617
0.9151 0.6793 0.3617

---

ReRu2Cl PBE optimized geometry; ρ = 11.8 g cm⁻³; excess energy over the best structure of this formula in the dataset = 50.0 meV/atom; size of the total moment = 0.00 Bohr magnetons per cell
1.0
2.8544 0.0000 0.0000
0.0000 2.8544 0.0000
0.0000 0.0000 7.3176
Re Ru Cl
1 2 1
Direct
0.0000 0.0000 0.0000
0.5000 0.5000 0.2390
0.5000 0.5000 0.7610
0.0000 0.0000 0.5000

---

BaErReN4 PBE optimized geometry; ρ = 7.2 g cm⁻³; size of the total moment = 0.00 Bohr magnetons per cell; electronic total energy = -58.39 eV per formula unit
1.0
5.9065 0.0000 0.0000
0.0000 5.9844 0.0000
-2.1352 0.0000 7.1208
Ba Er Re N
2 2 2 8
Direct
0.2213 0.2500 0.4304
0.7787 0.7500 0.5696
0.3022 0.2500 0.9601
0.6978 0.7500 0.0399
0.2415 0.7500 0.1632
0.7585 0.2500 0.8368
0.0422 0.7500 0.9305
0.0498 0.7500 0.3187
0.4474 0.5100 0.1949
0.4474 0.9900 0.1949
0.5526 0.0100 0.8051
0.5526 0.4900 0.8051
0.9502 0.2500 0.6813
0.9578 0.2500 0.0695

---

MnCrOs4 PBE optimized geometry; ρ = 15.2 g cm⁻³; DFT formation energy = 0.63 eV/atom; excess energy over the best structure of this formula in the dataset = 487.5 meV/atom; size of the total moment = 5.52 Bohr magnetons per cell
1.0
0.0000 3.6225 3.6225
3.6225 0.0000 3.6225
3.6225 3.6225 0.0000
Mn Cr Os
1 1 4
Direct
0.0000 0.0000 0.0000
0.7500 0.7500 0.7500
0.3751 0.3751 0.3751
0.3751 0.3751 0.8746
0.3751 0.8746 0.3751
0.8746 0.3751 0.3751

---

Si2HgP PBE optimized geometry; ρ = 5.8 g cm⁻³; excess energy over the best structure of this formula in the dataset = 177.3 meV/atom; size of the total moment = 0.00 Bohr magnetons per cell
1.0
1.5616 0.9016 9.8172
-1.5616 0.9016 9.8172
0.0000 -1.8032 9.8172
Si Hg P
2 1 1
Direct
0.0000 0.0000 0.0000
0.2666 0.2666 0.2666
0.7710 0.7710 0.7710
0.5506 0.5506 0.5506

---

YSi2Os PBE optimized geometry; ρ = 8.3 g cm⁻³; size of the total moment = 0.00 Bohr magnetons per cell; electronic total energy = -29.95 eV per formula unit
1.0
3.1848 0.0000 0.0000
0.0000 3.1848 0.0000
0.0000 0.0000 6.6094
Y Si Os
1 2 1
Direct
0.0000 0.0000 0.0000
0.0000 0.0000 0.4941
0.5000 0.5000 0.7042
0.5000 0.5000 0.3288